(1)
Computed, not measured: crystalline Ni3S at its relaxed geometry at the PBE-GGA level of DFT.

Calculated values
- crystal system = triclinic
- formation energy from raw total energies (eV per atom) = -0.1376

a b c (Å): 4.1847 4.1889 6.6746
angles (deg): 107.54 91.46 118.43
Last column: nearest neighbours and their distance in Å.
Space group P-1 (No. 2)
Symmetry-distinct sites (fractional):
Ni 0.0855 0.1325 0.1932 [2 per cell]  2 S 2.17-2.20, 1 Ni 2.41
Ni 0.3390 0.6707 0.0004 [2 per cell]  2 S 2.21, 2 Ni 2.39-2.43
Ni 0.3476 0.2150 0.5870 [2 per cell]  3 S 2.22-2.23
S 0.1011 0.6851 0.2925 [2 per cell]  7 Ni 2.17-2.23

---

(2)
Computed, not measured: crystalline NiS4 at its relaxed geometry at the PBE-GGA level of DFT.

Calculated values
- energy relative to the lowest polymorph listed for this composition (meV/atom) = 623
- crystal system = cubic
- formation energy from raw total energies (eV per atom) = 0.7744

a b c (Å): 4.4123 4.4123 4.4123
angles (deg): 90.00 90.00 90.00
Last column: nearest neighbours and their distance in Å.
Space group Pm-3m (No. 221)
Symmetry-distinct sites (fractional):
Ni 0.0000 0.0000 0.0000 [1 per cell]  6 S 2.21
S 0.0000 0.0000 0.5000 [3 per cell]  2 Ni 2.21
S 0.5000 0.5000 0.5000 [1 per cell]  12 S 3.12

---

(3)
Computed, not measured: crystalline Ni9S10 at its relaxed geometry at the PBE-GGA level of DFT.

Calculated values
- crystal system = triclinic
- formation energy from raw total energies (eV per atom) = -0.2967

a b c (Å): 6.1661 6.2651 7.5312
angles (deg): 104.15 101.54 99.91
Last column: nearest neighbours and their distance in Å.
Space group P-1 (No. 2)
Symmetry-distinct sites (fractional):
Ni 0.0000 0.0000 0.0000 [1 per cell]  4 S 2.22-2.29
Ni 0.1108 0.3051 0.6009 [2 per cell]  6 S 2.30-2.42
Ni 0.2335 0.5281 0.1662 [2 per cell]  5 S 2.23-2.29
Ni 0.3179 0.9231 0.8403 [2 per cell]  5 S 2.26-2.44
Ni 0.4284 0.1343 0.3995 [2 per cell]  5 S 2.24-2.38
S 0.0396 0.0032 0.3098 [2 per cell]  5 Ni 2.29-2.44
S 0.1462 0.5892 0.8836 [2 per cell]  4 Ni 2.23-2.36
S 0.2362 0.5943 0.4771 [2 per cell]  4 Ni 2.27-2.34
S 0.3572 0.1994 0.1159 [2 per cell]  5 Ni 2.22-2.29
S 0.4458 0.2004 0.7093 [2 per cell]  5 Ni 2.24-2.38

---

(4)
Computed, not measured: crystalline NiS2 at its relaxed geometry at the PBE-GGA level of DFT.

Calculated values
- crystal system = tetragonal
- formation energy from raw total energies (eV per atom) = 0.3028

a b c (Å): 3.1880 3.1880 9.9053
angles (deg): 90.00 90.00 90.00
Last column: nearest neighbours and their distance in Å.
Space group I4/mmm (No. 139)
Symmetry-distinct sites (fractional):
Ni 0.0000 0.0000 0.0000 [2 per cell]  8 S 2.49
S 0.0000 0.0000 0.3942 [4 per cell]  1 S 2.10

---

(5)
Computed, not measured: crystalline Ni3S at its relaxed geometry at the PBE-GGA level of DFT.

Calculated values
- crystal system = orthorhombic
- formation energy from raw total energies (eV per atom) = -0.1283

a b c (Å): 3.0281 6.5806 4.9169
angles (deg): 90.00 90.00 90.00
Last column: nearest neighbours and their distance in Å.
Space group Amm2 (No. 38)
Symmetry-distinct sites (fractional):
Ni 0.0000 0.0000 0.0000 [2 per cell]  2 S 2.15
Ni 0.5000 0.1904 0.3338 [4 per cell]  2 S 2.15-2.16
S 0.5000 0.0000 0.6893 [2 per cell]  6 Ni 2.15-2.16

---

(6)
Computed, not measured: crystalline Ni3S at its relaxed geometry at the PBE-GGA level of DFT.

Calculated values
- crystal system = monoclinic
- formation energy from raw total energies (eV per atom) = -0.1457

a b c (Å): 7.3624 4.1390 6.4238
angles (deg): 90.00 101.25 90.00
Last column: nearest neighbours and their distance in Å.
Space group C2 (No. 5)
Symmetry-distinct sites (fractional):
Ni 0.0324 0.0000 0.1934 [4 per cell]  2 S 2.18-2.21, 1 Ni 2.44
Ni 0.1613 0.5228 0.9956 [4 per cell]  2 S 2.18-2.21, 3 Ni 2.39-2.44
Ni 0.1840 0.7635 0.5796 [4 per cell]  3 S 2.22-2.23
S 0.1947 0.2622 0.7101 [4 per cell]  7 Ni 2.18-2.23

---

(7)
Computed, not measured: crystalline Ni17S18 at its relaxed geometry at the PBE-GGA level of DFT.

Calculated values
- crystal system = trigonal
- formation energy from raw total energies (eV per atom) = -0.2845

a b c (Å): 10.3181 10.3181 15.4739
angles (deg): 90.00 90.00 120.00
Last column: nearest neighbours and their distance in Å.
Space group R-3m (No. 166, hexagonal axes)
Symmetry-distinct sites (fractional):
Ni 0.0000 0.0000 0.0000 [3 per cell]  6 S 2.37
Ni 0.0000 0.0000 0.1744 [6 per cell]  6 S 2.34-2.36
Ni 0.0000 0.0000 0.3466 [6 per cell]  6 S 2.27-2.46
Ni 0.0000 0.3224 0.5000 [18 per cell]  6 S 2.30-2.43
Ni 0.0000 0.3251 0.0000 [18 per cell]  6 S 2.32-2.40, 2 Ni 2.58
S 0.1067 0.5534 0.2534 [18 per cell]  5 Ni 2.27-2.32
S 0.1086 0.2172 0.9121 [18 per cell]  6 Ni 2.36-2.43
S 0.1105 0.5552 0.9203 [18 per cell]  6 Ni 2.34-2.46

---

(8)
Computed, not measured: crystalline NiS8 at its relaxed geometry at the PBE-GGA level of DFT.

Calculated values
- crystal system = tetragonal
- formation energy from raw total energies (eV per atom) = 0.3824

a b c (Å): 7.1065 7.1065 8.3237
angles (deg): 90.00 90.00 90.00
Last column: nearest neighbours and their distance in Å.
Space group I4/mmm (No. 139)
Symmetry-distinct sites (fractional):
Ni 0.0000 0.0000 0.0000 [2 per cell]  4 S 2.12
S 0.0000 0.2988 0.0000 [8 per cell]  1 Ni 2.12, 2 S 2.36
S 0.1694 0.1694 0.5000 [8 per cell]  4 S 2.36-2.41